Record 1
Material: AlSiRh2
Method: DFT, PBE
State: relaxed

a = 4.7394 Å, b = 4.7394 Å, c = 4.2739 Å
α = 76.21°, β = 76.21°, γ = 35.52°
Sites, in units of the cell vectors:
Si 0.4965 0.4965 0.5690
Rh 0.9914 0.9914 0.0691
Al 0.2491 0.2491 0.1875
Rh 0.7631 0.7631 0.6744

Values from the calculation:
**Fermi-level density of states**: 1.574 states/eV/cell
**Magnetization**: 0.000 μB per formula unit
**Uncorrected formation energy**: -82.5 kJ per mole of atoms
**DFT total energy**: -27.29 eV for the cell shown

Record 2
Material: Si2SbRh8
Method: DFT, PBE
State: relaxed

a = 3.9697 Å, b = 6.6959 Å, c = 7.2037 Å
α = 117.69°, β = 105.99°, γ = 90.00°
Sites, in units of the cell vectors:
Rh 0.0000 0.3083 0.0000
Si 0.1880 0.6880 0.3761
Rh 0.3330 0.5475 0.6661
Rh 0.8531 0.8531 0.7063
Rh 0.6670 0.4525 0.3339
Sb 0.5000 0.0000 0.0000
Rh 0.6669 0.8814 0.3339
Rh 0.1469 0.1469 0.2937
Si 0.8120 0.3120 0.6239
Rh 0.0000 0.6917 0.0000
Rh 0.3331 0.1186 0.6661

Values from the calculation:
**Fermi-level density of states**: 10.284 states/eV/cell
**Magnetization**: 0.000 μB per formula unit
**Uncorrected formation energy**: -36.9 kJ per mole of atoms
**DFT total energy**: -77.99 eV for the cell shown

Record 3
Material: TaGeMoOs2
Method: DFT, PBE
State: relaxed

a = 4.4509 Å, b = 4.5489 Å, c = 4.4509 Å
α = 90.00°, β = 90.00°, γ = 90.00°
Sites, in units of the cell vectors:
Ge 0.0000 0.0000 0.0000
Ta 0.5000 0.5000 0.5000
Os 0.0000 0.0000 0.5000
Mo 0.0000 0.5000 0.0000
Os 0.5000 0.0000 0.0000

Values from the calculation:
**E_form**: 1.221 eV per atom
**Fermi-level density of states**: 3.195 states/eV/cell
**Magnetization**: 0.000 μB per formula unit
**DFT total energy**: -43.66 eV for the cell shown

Record 4
Material: ScNb2Au
Method: DFT, PBE
State: relaxed

a = 7.8559 Å, b = 7.8559 Å, c = 6.1615 Å
α = 50.39°, β = 50.39°, γ = 90.00°
Sites, in units of the cell vectors:
Au 0.7500 0.2500 0.5000
Au 0.0000 0.0000 0.0000
Nb 0.8750 0.9006 0.7500
Nb 0.0994 0.6250 0.2500
Sc 0.2500 0.7500 0.5000
Nb 0.6506 0.1250 0.2500
Sc 0.5000 0.5000 0.0000
Nb 0.3750 0.3494 0.7500

Values from the calculation:
**Energy above the lowest structure with this stoichiometry**: 0.122 eV/atom
**E_form**: 0.314 eV per atom
**Fermi-level density of states**: 8.188 states/eV/cell
**Magnetization**: 0.000 μB per formula unit
**DFT total energy**: -56.98 eV for the cell shown

Record 5
Material: TlVC2Cl
Method: DFT, PBE
State: relaxed

a = 4.0274 Å, b = 5.2219 Å, c = 4.0274 Å
α = 90.00°, β = 90.00°, γ = 90.00°
Sites, in units of the cell vectors:
Cl 0.0000 0.5000 0.0000
C 0.5000 0.0000 0.0000
Tl 0.5000 0.5000 0.5000
V 0.0000 0.0000 0.0000
C 0.0000 0.0000 0.5000

Values from the calculation:
**Fermi-level density of states**: 2.681 states/eV/cell
**Magnetization**: 0.000 μB per formula unit
**Uncorrected formation energy**: 95.6 kJ per mole of atoms
**DFT total energy**: -26.83 eV for the cell shown

Record 6
Material: KPbCl3
Method: DFT, PBE
State: relaxed

a = 5.7877 Å, b = 5.6148 Å, c = 5.7890 Å
α = 90.20°, β = 97.13°, γ = 89.64°
Sites, in units of the cell vectors:
Cl 0.3863 0.9991 0.4575
Cl 0.9614 0.5032 0.6012
Pb 0.4819 0.4996 0.5043
K 0.1357 0.0032 0.9154
Cl 0.4748 0.4949 0.0116

Values from the calculation:
**Fermi-level density of states**: 0.000 states/eV/cell
**Magnetization**: 0.000 μB per formula unit
**Uncorrected formation energy**: -139.8 kJ per mole of atoms
**DFT total energy**: -17.59 eV for the cell shown